Compound: CaTa2Ru
Source: Alexandria via LeMat-Bulk
Functional: PBE
Structure: optimized geometry

Cell: 9.5030 9.5030 9.5030 Å, 19.06 19.06 19.06°
Closest atoms and distances in Å follow each position.
Element x y z (fractional)
Ta (0.2608, 0.2608, 0.2608)  9 Ta 2.88-3.15
Ru (0.7394, 0.7394, 0.7394)  3 Ta 2.58
Ca (0.4925, 0.4925, 0.4925)  3 Ru 3.02, 6 Ca 3.15, 3 Ta 3.38
Ta (0.0073, 0.0073, 0.0073)  3 Ru 2.58, 3 Ta 2.88

Calculated values
Formation enthalpy at 0 K = 0.33 eV per atom
Energy relative to the lowest polymorph listed for this composition = 200 meV per atom
Raw total energy = -8.42 eV per atom
Space group = R3m
Density of states at the Fermi level = 3.50 states/eV/cell
Theoretical density = 10.4 Mg/m³